Entry 1:
# Zn2TcF8 | the Alexandria database | PBE | relaxed
data_Zn2TcF8
_cell_length_a 14.3006
_cell_length_b 4.9309
_cell_length_c 5.2868
_cell_angle_alpha 90.00
_cell_angle_beta 96.16
_cell_angle_gamma 90.00
_space_group_name_H-M_alt 'C 1 2/m 1'
_space_group_IT_number 12
loop_
_space_group_symop_operation_xyz
'x,y,z'
'-x,-y,-z'
'-x,y,-z'
'x,-y,z'
'x+1/2,y+1/2,z'
'-x+1/2,-y+1/2,-z'
'-x+1/2,y+1/2,-z'
'x+1/2,-y+1/2,z'
loop_
_atom_site_label
_atom_site_fract_x
_atom_site_fract_y
_atom_site_fract_z
Zn1 0.1641 0.0000 0.4706
Tc1 0.0000 0.0000 0.0000
F1 0.0707 0.2467 0.2401
F2 0.1081 0.0000 0.7945
F3 0.2092 0.5000 0.5789
# Uncorrected formation energy = -2087 meV/atom
# Spin magnetization = 3.0 μB/f.u.
# Calculated volume = 370.6 Å³/cell

***

Entry 2:
# LiTiGa | the Alexandria database | PBE | relaxed
data_LiTiGa
_cell_length_a 4.0077
_cell_length_b 4.0077
_cell_length_c 10.3184
_cell_angle_alpha 90.00
_cell_angle_beta 90.00
_cell_angle_gamma 120.00
_space_group_name_H-M_alt 'P 63/m m c'
_space_group_IT_number 194
_space_group_name_Hall '-P 6c 2c'
loop_
_atom_site_label
_atom_site_fract_x
_atom_site_fract_y
_atom_site_fract_z
Li1 0.3333 0.6667 0.2500
Ti1 0.0000 0.0000 0.0000
Ga1 0.0000 0.0000 0.2500
# Relative energy among the computed polymorphs = 1.1690 eV per atom
# Spin magnetization = 2.0 μB/f.u.
# Calculated volume = 143.5 Å³/cell

***

Entry 3:
# SmHo8Ir6 | the Alexandria database | PBE | relaxed
data_SmHo8Ir6
_cell_length_a 8.2806
_cell_length_b 8.2806
_cell_length_c 17.9143
_cell_angle_alpha 90.00
_cell_angle_beta 90.00
_cell_angle_gamma 120.00
_space_group_name_H-M_alt 'R -3'
_space_group_IT_number 148
_space_group_name_Hall '-R 3'
loop_
_atom_site_label
_atom_site_fract_x
_atom_site_fract_y
_atom_site_fract_z
Sm1 0.0000 0.0000 0.0000
Ho1 0.0000 0.0000 0.3343
Ho2 0.0020 0.6642 0.8878
Ir1 0.9997 0.3352 0.9427
# Total DFT energy (no corrections) = -7.09 eV per atom
# Spin magnetization = 0.0 μB/f.u.
# Calculated volume = 1063.8 Å³/cell

***

Entry 4:
# TaTcHg4 | the Alexandria database | PBE | relaxed
data_TaTcHg4
_cell_length_a 7.8403
_cell_length_b 7.8403
_cell_length_c 7.8403
_cell_angle_alpha 90.00
_cell_angle_beta 90.00
_cell_angle_gamma 90.00
_space_group_name_H-M_alt 'F -4 3 m'
_space_group_IT_number 216
_space_group_name_Hall 'F -4 2 3'
loop_
_atom_site_label
_atom_site_fract_x
_atom_site_fract_y
_atom_site_fract_z
Ta1 0.0000 0.0000 0.0000
Tc1 0.2500 0.2500 0.7500
Hg1 0.1249 0.1249 0.3751
# Total DFT energy (no corrections) = -2.99 eV per atom
# Spin magnetization = 0.0 μB/f.u.
# Calculated volume = 481.9 Å³/cell

***

Entry 5:
# AlSnCSe2 | the Alexandria database | PBE | relaxed
data_AlSnCSe2
_cell_length_a 5.1349
_cell_length_b 5.1349
_cell_length_c 3.7669
_cell_angle_alpha 90.00
_cell_angle_beta 90.00
_cell_angle_gamma 90.00
_space_group_name_H-M_alt 'P 4/m m m'
_space_group_IT_number 123
_space_group_name_Hall '-P 4 2'
loop_
_atom_site_label
_atom_site_fract_x
_atom_site_fract_y
_atom_site_fract_z
Al1 0.0000 0.0000 0.0000
Sn1 0.5000 0.5000 0.0000
C1 0.0000 0.0000 0.5000
Se1 0.0000 0.5000 0.5000
# Relative energy among the computed polymorphs = 0.0197 eV per atom
# Uncorrected formation energy = 516 meV/atom
# Spin magnetization = 0.0 μB/f.u.
# Calculated volume = 99.3 Å³/cell

***

Entry 6:
# ZnPtAu2 | the Alexandria database | PBE | relaxed
data_ZnPtAu2
_cell_length_a 2.9173
_cell_length_b 3.8145
_cell_length_c 5.9458
_cell_angle_alpha 90.00
_cell_angle_beta 90.57
_cell_angle_gamma 90.00
_space_group_name_H-M_alt 'P 1 m 1'
_space_group_IT_number 6
loop_
_space_group_symop_operation_xyz
'x,y,z'
'x,-y,z'
loop_
_atom_site_label
_atom_site_fract_x
_atom_site_fract_y
_atom_site_fract_z
Zn1 0.0000 0.0000 0.0000
Pt1 0.4995 0.5000 0.7945
Au1 0.4926 0.5000 0.2618
Au2 0.9965 0.0000 0.5266
# Total DFT energy (no corrections) = -3.67 eV per atom
# Spin magnetization = 0.0 μB/f.u.
# Calculated volume = 66.2 Å³/cell

***

Entry 7:
# PmDy12Th2 | the Alexandria database | PBE | relaxed
data_PmDy12Th2
_cell_length_a 7.0763
_cell_length_b 11.1429
_cell_length_c 24.5704
_cell_angle_alpha 90.00
_cell_angle_beta 94.18
_cell_angle_gamma 90.00
_space_group_name_H-M_alt 'C 1 2/m 1'
_space_group_IT_number 12
loop_
_space_group_symop_operation_xyz
'x,y,z'
'-x,-y,-z'
'-x,y,-z'
'x,-y,z'
'x+1/2,y+1/2,z'
'-x+1/2,-y+1/2,-z'
'-x+1/2,y+1/2,-z'
'x+1/2,-y+1/2,z'
loop_
_atom_site_label
_atom_site_fract_x
_atom_site_fract_y
_atom_site_fract_z
Pm1 0.2500 0.0000 0.0000
Dy1 0.0190 0.2498 0.0744
Dy2 0.1117 0.2412 0.4453
Dy3 0.1433 0.5000 0.5855
Dy4 0.1546 0.0000 0.5684
Dy5 0.1671 0.2429 0.6692
Dy6 0.1986 0.2485 0.7978
Dy7 0.2146 0.0000 0.8632
Dy8 0.2153 0.5000 0.8630
Th1 0.0621 0.5000 0.2701
Th2 0.0746 0.0000 0.2713
# Total DFT energy (no corrections) = -4.87 eV per atom
# Spin magnetization = 0.0 μB/f.u.
# Calculated volume = 1932.2 Å³/cell

***

Entry 8:
# Li2Ca7Cd2 | the Alexandria database | PBE | relaxed
data_Li2Ca7Cd2
_cell_length_a 7.8749
_cell_length_b 12.0048
_cell_length_c 8.3220
_cell_angle_alpha 90.00
_cell_angle_beta 90.00
_cell_angle_gamma 90.00
_space_group_name_H-M_alt 'C m m m'
_space_group_IT_number 65
_space_group_name_Hall '-C 2 2'
loop_
_atom_site_label
_atom_site_fract_x
_atom_site_fract_y
_atom_site_fract_z
Li1 0.0000 0.2029 0.0000
Ca1 0.0000 0.0000 0.2630
Ca2 0.0000 0.5000 0.0000
Ca3 0.2500 0.2500 0.2928
Cd1 0.1785 0.5000 0.5000
# Relative energy among the computed polymorphs = 0.1612 eV per atom
# Spin magnetization = 0.0 μB/f.u.
# Calculated volume = 786.7 Å³/cell

***

Entry 9:
# Li2ScCd | the Alexandria database | PBE | relaxed
data_Li2ScCd
_cell_length_a 7.6046
_cell_length_b 7.6046
_cell_length_c 5.8627
_cell_angle_alpha 90.00
_cell_angle_beta 90.00
_cell_angle_gamma 90.00
_space_group_name_H-M_alt 'I -4 2 d'
_space_group_IT_number 122
_space_group_name_Hall 'I -4 2bw'
loop_
_atom_site_label
_atom_site_fract_x
_atom_site_fract_y
_atom_site_fract_z
Li1 0.2237 0.2500 0.1250
Sc1 0.0000 0.0000 0.5000
Cd1 0.0000 0.0000 0.0000
# Relative energy among the computed polymorphs = 0.2383 eV per atom
# Spin magnetization = 0.0 μB/f.u.
# Calculated volume = 339.0 Å³/cell

***

Entry 10:
# PaTl2Sb2Se6 | the Alexandria database | PBE | relaxed
data_PaTl2Sb2Se6
_cell_length_a 7.2894
_cell_length_b 12.6333
_cell_length_c 8.1096
_cell_angle_alpha 90.00
_cell_angle_beta 107.67
_cell_angle_gamma 90.00
_space_group_name_H-M_alt 'C 1 2/m 1'
_space_group_IT_number 12
loop_
_space_group_symop_operation_xyz
'x,y,z'
'-x,-y,-z'
'-x,y,-z'
'x,-y,z'
'x+1/2,y+1/2,z'
'-x+1/2,-y+1/2,-z'
'-x+1/2,y+1/2,-z'
'x+1/2,-y+1/2,z'
loop_
_atom_site_label
_atom_site_fract_x
_atom_site_fract_y
_atom_site_fract_z
Pa1 0.0000 0.0000 0.0000
Tl1 0.0000 0.1661 0.5000
Sb1 0.0000 0.3314 0.0000
Se1 0.2304 0.1645 0.2021
Se2 0.2443 0.5000 0.2054
# Uncorrected formation energy = -631 meV/atom
# Spin magnetization = 1.0 μB/f.u.
# Calculated volume = 711.6 Å³/cell

***

Entry 11:
# HoScAlRu | the Alexandria database | PBE | relaxed
data_HoScAlRu
_cell_length_a 6.7893
_cell_length_b 6.7893
_cell_length_c 6.7893
_cell_angle_alpha 90.00
_cell_angle_beta 90.00
_cell_angle_gamma 90.00
_space_group_name_H-M_alt 'F -4 3 m'
_space_group_IT_number 216
_space_group_name_Hall 'F -4 2 3'
loop_
_atom_site_label
_atom_site_fract_x
_atom_site_fract_y
_atom_site_fract_z
Ho1 0.0000 0.0000 0.0000
Sc1 0.0000 0.0000 0.5000
Al1 0.2500 0.2500 0.2500
Ru1 0.2500 0.2500 0.7500
# Total DFT energy (no corrections) = -6.40 eV per atom
# Spin magnetization = 0.0 μB/f.u.
# Calculated volume = 312.9 Å³/cell

***

Entry 12:
# Cs4Te | the Alexandria database | PBE | relaxed
data_Cs4Te
_cell_length_a 7.5960
_cell_length_b 7.5960
_cell_length_c 7.5960
_cell_angle_alpha 90.00
_cell_angle_beta 90.00
_cell_angle_gamma 90.00
_space_group_name_H-M_alt 'P m -3 m'
_space_group_IT_number 221
_space_group_name_Hall '-P 4 2 3'
loop_
_atom_site_label
_atom_site_fract_x
_atom_site_fract_y
_atom_site_fract_z
Cs1 0.0000 0.0000 0.0000
Cs2 0.0000 0.5000 0.5000
Te1 0.5000 0.5000 0.5000
# Uncorrected formation energy = -533 meV/atom
# Spin magnetization = 0.0 μB/f.u.
# Calculated volume = 438.3 Å³/cell

***

Entry 13:
# Sr2ZnCd6Hg | the Alexandria database | PBE | relaxed
data_Sr2ZnCd6Hg
_cell_length_a 7.9753
_cell_length_b 9.7103
_cell_length_c 7.2545
_cell_angle_alpha 90.00
_cell_angle_beta 90.00
_cell_angle_gamma 90.00
_space_group_name_H-M_alt 'P m m n'
_space_group_IT_number 59
loop_
_space_group_symop_operation_xyz
'x,y,z'
'-x,-y,-z'
'-x+1/2,-y+1/2,z'
'x+1/2,y+1/2,-z'
'x+1/2,-y,-z'
'-x+1/2,y,z'
'-x,y+1/2,-z'
'x,-y+1/2,z'
loop_
_atom_site_label
_atom_site_fract_x
_atom_site_fract_y
_atom_site_fract_z
Sr1 0.2500 0.0166 0.2189
Zn1 0.2500 0.2500 0.5364
Cd1 0.0634 0.2500 0.8836
Cd2 0.0702 0.7500 0.5339
Cd3 0.2500 0.0001 0.7098
Hg1 0.2500 0.7500 0.9278
# Total DFT energy (no corrections) = -1.21 eV per atom
# Spin magnetization = 0.0 μB/f.u.
# Calculated volume = 561.8 Å³/cell

***

Entry 14:
# ErMgGaNi | the Alexandria database | PBE | relaxed
data_ErMgGaNi
_cell_length_a 6.6296
_cell_length_b 6.6296
_cell_length_c 6.6296
_cell_angle_alpha 90.00
_cell_angle_beta 90.00
_cell_angle_gamma 90.00
_space_group_name_H-M_alt 'F -4 3 m'
_space_group_IT_number 216
_space_group_name_Hall 'F -4 2 3'
loop_
_atom_site_label
_atom_site_fract_x
_atom_site_fract_y
_atom_site_fract_z
Er1 0.0000 0.0000 0.0000
Mg1 0.0000 0.0000 0.5000
Ga1 0.2500 0.2500 0.2500
Ni1 0.2500 0.2500 0.7500
# Total DFT energy (no corrections) = -4.11 eV per atom
# Spin magnetization = 0.0 μB/f.u.
# Calculated volume = 291.4 Å³/cell

***

Entry 15:
# SrCl | the Alexandria database | PBE | relaxed
data_SrCl
_cell_length_a 3.9155
_cell_length_b 7.9170
_cell_length_c 4.6670
_cell_angle_alpha 90.00
_cell_angle_beta 90.00
_cell_angle_gamma 90.00
_space_group_name_H-M_alt 'C m m m'
_space_group_IT_number 65
_space_group_name_Hall '-C 2 2'
loop_
_atom_site_label
_atom_site_fract_x
_atom_site_fract_y
_atom_site_fract_z
Sr1 0.0000 0.0000 0.0000
Cl1 0.0000 0.5000 0.5000
# Uncorrected formation energy = -1558 meV/atom
# Spin magnetization = 0.0 μB/f.u.
# Calculated volume = 144.7 Å³/cell

***

Entry 16:
# NaNp3Te6 | the Alexandria database | PBE | relaxed
data_NaNp3Te6
_cell_length_a 11.7882
_cell_length_b 14.5678
_cell_length_c 7.6462
_cell_angle_alpha 90.00
_cell_angle_beta 90.00
_cell_angle_gamma 90.00
_space_group_name_H-M_alt 'C m c 21'
_space_group_IT_number 36
loop_
_space_group_symop_operation_xyz
'x,y,z'
'-x,-y,z+1/2'
'-x,y,z'
'x,-y,z+1/2'
'x+1/2,y+1/2,z'
'-x+1/2,-y+1/2,z+1/2'
'-x+1/2,y+1/2,z'
'x+1/2,-y+1/2,z+1/2'
loop_
_atom_site_label
_atom_site_fract_x
_atom_site_fract_y
_atom_site_fract_z
Na1 0.0000 0.1798 0.0000
Np1 0.0000 0.4029 0.3729
Np2 0.1797 0.1016 0.4859
Te1 0.0000 0.0060 0.2442
Te2 0.0000 0.2365 0.6182
Te3 0.1642 0.4604 0.6753
Te4 0.1864 0.2730 0.2316
# Uncorrected formation energy = -632 meV/atom
# Spin magnetization = 10.0 μB/f.u.
# Calculated volume = 1313.1 Å³/cell

***

Entry 17:
# HfTcNO2 | the Alexandria database | PBE | relaxed
data_HfTcNO2
_cell_length_a 4.0066
_cell_length_b 4.0066
_cell_length_c 4.3382
_cell_angle_alpha 90.00
_cell_angle_beta 90.00
_cell_angle_gamma 90.00
_space_group_name_H-M_alt 'P 4/m m m'
_space_group_IT_number 123
_space_group_name_Hall '-P 4 2'
loop_
_atom_site_label
_atom_site_fract_x
_atom_site_fract_y
_atom_site_fract_z
Hf1 0.0000 0.0000 0.0000
Tc1 0.5000 0.5000 0.5000
N1 0.0000 0.0000 0.5000
O1 0.0000 0.5000 0.0000
# Uncorrected formation energy = -766 meV/atom
# Spin magnetization = 4.0 μB/f.u.
# Calculated volume = 69.6 Å³/cell

***

Entry 18:
# La2Tl2Os | the Alexandria database | PBE | relaxed
data_La2Tl2Os
_cell_length_a 3.9829
_cell_length_b 3.9829
_cell_length_c 18.7624
_cell_angle_alpha 90.00
_cell_angle_beta 90.00
_cell_angle_gamma 90.00
_space_group_name_H-M_alt 'I 4/m m m'
_space_group_IT_number 139
_space_group_name_Hall '-I 4 2'
loop_
_atom_site_label
_atom_site_fract_x
_atom_site_fract_y
_atom_site_fract_z
La1 0.0000 0.0000 0.0842
Tl1 0.0000 0.5000 0.2500
Os1 0.0000 0.0000 0.5000
# Relative energy among the computed polymorphs = 0.0693 eV per atom
# Spin magnetization = 0.0 μB/f.u.
# Calculated volume = 297.6 Å³/cell

***

Entry 19:
# B3SbN3 | the Alexandria database | PBE | relaxed
data_B3SbN3
_cell_length_a 4.8860
_cell_length_b 4.8860
_cell_length_c 4.8860
_cell_angle_alpha 90.00
_cell_angle_beta 90.00
_cell_angle_gamma 90.00
_space_group_name_H-M_alt 'P m -3 n'
_space_group_IT_number 223
_space_group_name_Hall '-P 4n 2 3'
loop_
_atom_site_label
_atom_site_fract_x
_atom_site_fract_y
_atom_site_fract_z
B1 0.0000 0.2500 0.5000
Sb1 0.0000 0.0000 0.0000
N1 0.0000 0.5000 0.2500
# Uncorrected formation energy = 638 meV/atom
# Spin magnetization = 0.0 μB/f.u.
# Calculated volume = 116.6 Å³/cell

***

Entry 20:
# ZnSnAs2 | the Alexandria database | PBE | relaxed
data_ZnSnAs2
_cell_length_a 4.2185
_cell_length_b 4.2185
_cell_length_c 5.8986
_cell_angle_alpha 90.00
_cell_angle_beta 90.00
_cell_angle_gamma 90.00
_space_group_name_H-M_alt 'P -4 m 2'
_space_group_IT_number 115
loop_
_space_group_symop_operation_xyz
'x,y,z'
'y,-x,-z'
'-x,-y,z'
'-y,x,-z'
'-x,y,z'
'-y,-x,-z'
'x,-y,z'
'y,x,-z'
loop_
_atom_site_label
_atom_site_fract_x
_atom_site_fract_y
_atom_site_fract_z
Zn1 0.0000 0.0000 0.0000
Sn1 0.5000 0.5000 0.5000
As1 0.0000 0.5000 0.2243
# Relative energy among the computed polymorphs = 0.0050 eV per atom
# Spin magnetization = 0.0 μB/f.u.
# Calculated volume = 105.0 Å³/cell